Entry 1:
PrErInPd: relaxed, GGA-PBE.

Structure (CIF):
```
data_PrErInPd
_cell_length_a 5.246
_cell_length_b 5.246
_cell_length_c 5.246
_cell_angle_alpha 60.00
_cell_angle_beta 60.00
_cell_angle_gamma 60.00
_space_group_name_H-M_alt 'P 1'
_space_group_IT_number 1
loop_
_space_group_symop_operation_xyz
'x,y,z'
loop_
_atom_site_label
_atom_site_fract_x
_atom_site_fract_y
_atom_site_fract_z
_atom_site_occupancy
Pr1 0.750 0.750 0.750 1
Pd1 0.000 0.000 0.000 1
In1 0.500 0.500 0.500 1
Er1 0.250 0.250 0.250 1
```

Values from the calculation:
Its energy is -0.358 Ry/atom. Its crystal system is cubic. The space group is F-43m (216). The magnetization is 0.00 μB per formula unit.

Entry 2:
Tm2GeBr3: relaxed, GGA-PBE.

Structure (CIF):
```
data_Tm2GeBr3
_cell_length_a 4.018
_cell_length_b 9.523
_cell_length_c 10.071
_cell_angle_alpha 80.79
_cell_angle_beta 78.49
_cell_angle_gamma 77.82
_space_group_name_H-M_alt 'P 1'
_space_group_IT_number 1
loop_
_space_group_symop_operation_xyz
'x,y,z'
loop_
_atom_site_label
_atom_site_fract_x
_atom_site_fract_y
_atom_site_fract_z
_atom_site_occupancy
Ge1 0.435 0.506 0.625 1
Ge2 0.565 0.494 0.375 1
Tm1 0.126 0.568 0.180 1
Tm2 0.874 0.432 0.820 1
Tm3 0.611 0.219 0.559 1
Tm4 0.389 0.781 0.441 1
Br1 0.047 0.138 0.769 1
Br2 0.324 0.326 0.027 1
Br3 0.758 0.872 0.613 1
Br4 0.242 0.128 0.387 1
Br5 0.953 0.862 0.231 1
Br6 0.676 0.674 0.973 1
```

Values from the calculation:
Its energy is -0.325 Ry/atom. Its crystal system is monoclinic. The space group is C2/m (12). As for the uncorrected formation energy: -1330.1 meV/atom. The magnetization is 0.00 μB per formula unit.

Entry 3:
BPN2: relaxed, GGA-PBE.

Structure (CIF):
```
data_BPN2
_cell_length_a 4.462
_cell_length_b 4.462
_cell_length_c 4.656
_cell_angle_alpha 61.37
_cell_angle_beta 61.37
_cell_angle_gamma 90.00
_space_group_name_H-M_alt 'P 1'
_space_group_IT_number 1
loop_
_space_group_symop_operation_xyz
'x,y,z'
loop_
_atom_site_label
_atom_site_fract_x
_atom_site_fract_y
_atom_site_fract_z
_atom_site_occupancy
P1 0.750 0.250 0.500 1
P2 0.000 0.000 0.000 1
B1 0.500 0.500 0.000 1
B2 0.250 0.750 0.500 1
N1 0.875 0.782 0.750 1
N2 0.532 0.125 0.250 1
N3 0.218 0.625 0.250 1
N4 0.375 0.468 0.750 1
```

Values from the calculation:
Its energy is -0.505 Ry/atom. Its crystal system is tetragonal. The space group is I-42d (122). As for the uncorrected formation energy: 309.3 meV/atom. Its energy relative to the lowest polymorph listed for this composition is 0 meV per atom. The magnetization is 0.00 μB per formula unit.